No. 1
! CeGeIr (PBE, relaxed); values from VASP
! ΔE_f (kJ/mol of atoms): -85.1
! Volume (Å³/cell): 475.80
&SYSTEM
  ibrav = 0, nat = 24, ntyp = 3
/
ATOMIC_SPECIES
Ce 140.12 Ce.upf
Ge 72.64 Ge.upf
Ir 192.22 Ir.upf
ATOMIC_POSITIONS crystal
Ce 0.500 0.796 0.746
Ce 0.000 0.291 0.500
Ce 0.500 0.703 0.500
Ce 0.000 0.297 0.000
Ce 0.000 0.204 0.754
Ce 0.000 0.204 0.246
Ce 0.500 0.709 0.000
Ce 0.500 0.796 0.254
Ge 0.000 0.911 0.595
Ge 0.000 0.588 0.849
Ge 0.500 0.412 0.349
Ge 0.000 0.588 0.151
Ge 0.500 0.412 0.651
Ge 0.000 0.911 0.405
Ge 0.500 0.089 0.095
Ge 0.500 0.089 0.905
Ir 0.000 0.918 0.114
Ir 0.000 0.918 0.886
Ir 0.500 0.418 0.850
Ir 0.000 0.582 0.350
Ir 0.500 0.418 0.150
Ir 0.500 0.082 0.386
Ir 0.500 0.082 0.614
Ir 0.000 0.582 0.650
CELL_PARAMETERS angstrom
4.392 0.000 0.000
0.000 7.611 0.000
0.000 0.000 14.234


No. 2
! Ce4Ge8Ir (PBE, relaxed); values from VASP
! ΔE_f (kJ/mol of atoms): -60.6
! Volume (Å³/cell): 283.79
&SYSTEM
  ibrav = 0, nat = 13, ntyp = 3
/
ATOMIC_SPECIES
Ce 140.12 Ce.upf
Ge 72.64 Ge.upf
Ir 192.22 Ir.upf
ATOMIC_POSITIONS crystal
Ce 0.000 0.000 0.101
Ce 0.000 0.500 0.612
Ce 0.500 0.500 0.395
Ce 0.500 0.000 0.893
Ge 0.000 0.000 0.465
Ge 0.000 0.500 0.943
Ge 0.500 0.500 0.044
Ge 0.500 0.000 0.561
Ge 0.000 0.500 0.234
Ge 0.000 0.000 0.752
Ge 0.500 0.000 0.232
Ge 0.500 0.500 0.754
Ir 0.000 0.000 0.317
CELL_PARAMETERS angstrom
4.105 0.000 0.000
0.000 4.209 0.000
0.000 0.000 16.424


No. 3
! Ce6Ge2Ir (PBE, relaxed); values from VASP
! ΔE_f (kJ/mol of atoms): -55.0
! Volume (Å³/cell): 223.02
&SYSTEM
  ibrav = 0, nat = 9, ntyp = 3
/
ATOMIC_SPECIES
Ce 140.12 Ce.upf
Ge 72.64 Ge.upf
Ir 192.22 Ir.upf
ATOMIC_POSITIONS crystal
Ce 0.500 0.582 0.000
Ce 0.500 0.418 0.418
Ce 0.500 0.000 0.582
Ce 0.000 0.259 0.000
Ce 0.000 0.741 0.741
Ce 0.000 0.000 0.259
Ge 0.000 0.333 0.667
Ge 0.000 0.667 0.333
Ir 0.500 0.000 0.000
CELL_PARAMETERS angstrom
-2.498 2.181 -2.035
3.641 -2.277 -6.909
-6.207 -4.352 2.953


No. 4
! Ce3Ge8Ir3 (PBE, relaxed); values from VASP
! ΔE_f (kJ/mol of atoms): -45.2
! Volume (Å³/cell): 272.62
&SYSTEM
  ibrav = 0, nat = 14, ntyp = 3
/
ATOMIC_SPECIES
Ce 140.12 Ce.upf
Ge 72.64 Ge.upf
Ir 192.22 Ir.upf
ATOMIC_POSITIONS crystal
Ce 0.500 0.500 0.500
Ce 0.814 0.186 0.186
Ce 0.186 0.814 0.814
Ge 0.624 0.080 0.673
Ge 0.376 0.920 0.327
Ge 0.624 0.673 0.080
Ge 0.376 0.327 0.920
Ge 0.847 0.779 0.527
Ge 0.153 0.221 0.473
Ge 0.847 0.527 0.779
Ge 0.153 0.473 0.221
Ir 0.500 0.000 0.000
Ir 0.000 0.800 0.200
Ir 0.000 0.200 0.800
CELL_PARAMETERS angstrom
-0.687 3.074 2.758
-4.806 -3.515 5.897
5.566 -1.387 6.109


No. 5
! CeGe3Ir (PBE, relaxed); values from VASP
! ΔE_f (kJ/mol of atoms): -62.8
! Volume (Å³/cell): 98.93
&SYSTEM
  ibrav = 0, nat = 5, ntyp = 3
/
ATOMIC_SPECIES
Ge 72.64 Ge.upf
Ir 192.22 Ir.upf
Ce 140.12 Ce.upf
ATOMIC_POSITIONS crystal
Ge 0.844 0.344 0.688
Ge 0.344 0.844 0.688
Ge 0.001 0.001 0.001
Ir 0.239 0.239 0.477
Ce 0.576 0.576 0.152
CELL_PARAMETERS angstrom
4.428 0.001 -0.002
-0.001 4.428 -0.002
-2.210 -2.211 5.049


No. 6
! Ce2Ge6Ir (PBE, relaxed); values from VASP
! ΔE to the lowest computed polymorph (meV/atom): 32
! ΔE_f (kJ/mol of atoms): -48.0
! Volume (Å³/cell): 188.73
&SYSTEM
  ibrav = 0, nat = 9, ntyp = 3
/
ATOMIC_SPECIES
Ce 140.12 Ce.upf
Ge 72.64 Ge.upf
Ir 192.22 Ir.upf
ATOMIC_POSITIONS crystal
Ce 0.330 0.000 0.660
Ce 0.997 0.000 0.994
Ge 0.713 0.000 0.426
Ge 0.212 0.500 0.425
Ge 0.099 0.500 0.198
Ge 0.600 0.000 0.199
Ge 0.455 0.500 0.910
Ge 0.886 0.500 0.772
Ir 0.777 0.500 0.553
CELL_PARAMETERS angstrom
-2.923 -0.376 2.877
-2.762 -0.946 -2.929
3.949 -10.550 -0.316


No. 7
! Ce3Ge2Ir2 (PBE, relaxed); values from VASP
! ΔE to the lowest computed polymorph (meV/atom): 68
! ΔE_f (kJ/mol of atoms): -73.4
! Volume (Å³/cell): 161.07
&SYSTEM
  ibrav = 0, nat = 7, ntyp = 3
/
ATOMIC_SPECIES
Ce 140.12 Ce.upf
Ge 72.64 Ge.upf
Ir 192.22 Ir.upf
ATOMIC_POSITIONS crystal
Ce 0.000 0.000 0.000
Ce 0.680 0.180 0.361
Ce 0.320 0.820 0.639
Ge 0.143 0.643 0.285
Ge 0.857 0.357 0.715
Ir 0.572 0.572 0.144
Ir 0.428 0.428 0.856
CELL_PARAMETERS angstrom
-3.749 0.004 -2.316
2.094 -0.624 -3.390
0.084 -8.643 4.042


No. 8
! Ce2GeIr (PBE, relaxed); values from VASP
! ΔE_f (kJ/mol of atoms): -62.3
! Volume (Å³/cell): 85.68
&SYSTEM
  ibrav = 0, nat = 4, ntyp = 3
/
ATOMIC_SPECIES
Ge 72.64 Ge.upf
Ir 192.22 Ir.upf
Ce 140.12 Ce.upf
ATOMIC_POSITIONS crystal
Ge 0.500 0.500 0.500
Ir 0.500 0.500 0.000
Ce 0.000 0.000 0.765
Ce 0.000 0.000 0.235
CELL_PARAMETERS angstrom
3.197 0.000 0.000
0.000 3.197 0.000
0.000 0.000 8.384


No. 9
! CeGe4Ir4 (PBE, relaxed); values from VASP
! ΔE_f (kJ/mol of atoms): -32.0
! Volume (Å³/cell): 332.71
&SYSTEM
  ibrav = 0, nat = 18, ntyp = 3
/
ATOMIC_SPECIES
Ce 140.12 Ce.upf
Ge 72.64 Ge.upf
Ir 192.22 Ir.upf
ATOMIC_POSITIONS crystal
Ce 0.000 0.000 0.000
Ce 0.500 0.500 0.500
Ge 0.500 0.851 0.286
Ge 0.500 0.149 0.714
Ge 0.000 0.786 0.649
Ge 0.000 0.351 0.786
Ge 0.000 0.649 0.214
Ge 0.500 0.286 0.149
Ge 0.500 0.714 0.851
Ge 0.000 0.214 0.351
Ir 0.500 0.405 0.860
Ir 0.000 0.640 0.905
Ir 0.500 0.595 0.140
Ir 0.000 0.095 0.640
Ir 0.500 0.860 0.595
Ir 0.000 0.905 0.360
Ir 0.000 0.360 0.095
Ir 0.500 0.140 0.405
CELL_PARAMETERS angstrom
-3.833 1.944 -2.089
1.672 -4.224 -6.999
-4.694 -6.345 2.707


No. 10
! CeGeIr3 (PBE, relaxed); values from VASP
! ΔE_f (kJ/mol of atoms): 2.1
! Volume (Å³/cell): 245.34
&SYSTEM
  ibrav = 0, nat = 10, ntyp = 3
/
ATOMIC_SPECIES
Ce 140.12 Ce.upf
Ge 72.64 Ge.upf
Ir 192.22 Ir.upf
ATOMIC_POSITIONS crystal
Ce 0.750 0.615 0.385
Ce 0.250 0.385 0.615
Ge 0.750 0.840 0.160
Ge 0.250 0.160 0.840
Ir 0.750 0.615 0.757
Ir 0.750 0.243 0.385
Ir 0.250 0.757 0.615
Ir 0.250 0.385 0.243
Ir 0.000 0.000 0.000
Ir 0.500 0.000 0.000
CELL_PARAMETERS angstrom
-4.780 -1.471 0.504
1.619 -2.801 7.181
-2.432 7.229 -1.964


No. 11
! CeGeIr (PBE, relaxed); values from VASP
! ΔE_f (kJ/mol of atoms): -50.8
! Volume (Å³/cell): 382.25
&SYSTEM
  ibrav = 0, nat = 18, ntyp = 3
/
ATOMIC_SPECIES
Ce 140.12 Ce.upf
Ir 192.22 Ir.upf
Ge 72.64 Ge.upf
ATOMIC_POSITIONS crystal
Ce 0.500 0.000 0.667
Ce 0.000 0.000 0.500
Ce 0.000 0.000 0.833
Ce 0.000 0.000 0.167
Ce 0.500 0.500 0.000
Ce 0.000 0.500 0.333
Ir 0.378 0.756 0.167
Ir 0.756 0.378 0.833
Ir 0.622 0.378 0.500
Ir 0.622 0.244 0.167
Ir 0.378 0.622 0.500
Ir 0.244 0.622 0.833
Ge 0.500 0.500 0.293
Ge 0.000 0.500 0.627
Ge 0.500 0.500 0.707
Ge 0.000 0.500 0.040
Ge 0.500 0.000 0.960
Ge 0.500 0.000 0.373
CELL_PARAMETERS angstrom
6.185 0.000 0.000
-3.093 5.357 0.000
0.000 0.000 11.537


No. 12
! CeGe4Ir2 (PBE, relaxed); values from VASP
! ΔE_f (kJ/mol of atoms): -58.3
! Volume (Å³/cell): 499.07
&SYSTEM
  ibrav = 0, nat = 28, ntyp = 3
/
ATOMIC_SPECIES
Ge 72.64 Ge.upf
Ir 192.22 Ir.upf
Ce 140.12 Ce.upf
ATOMIC_POSITIONS crystal
Ge 0.250 0.277 0.692
Ge 0.750 0.723 0.308
Ge 0.750 0.777 0.808
Ge 0.250 0.223 0.192
Ge 0.250 0.693 0.682
Ge 0.750 0.307 0.318
Ge 0.750 0.193 0.818
Ge 0.250 0.807 0.182
Ge 0.250 0.136 0.535
Ge 0.750 0.864 0.465
Ge 0.750 0.636 0.965
Ge 0.250 0.364 0.035
Ge 0.250 0.468 0.434
Ge 0.750 0.532 0.566
Ge 0.750 0.968 0.066
Ge 0.250 0.032 0.934
Ir 0.250 0.750 0.531
Ir 0.750 0.250 0.469
Ir 0.750 0.250 0.969
Ir 0.250 0.750 0.031
Ir 0.250 0.981 0.789
Ir 0.750 0.019 0.211
Ir 0.750 0.481 0.711
Ir 0.250 0.519 0.289
Ce 0.750 0.994 0.642
Ce 0.250 0.006 0.358
Ce 0.250 0.494 0.858
Ce 0.750 0.506 0.142
CELL_PARAMETERS angstrom
-1.893 3.839 -0.259
-4.663 -2.577 -4.121
-9.865 -3.944 13.627


No. 13
! CeGe2Ir (PBE, relaxed); values from VASP
! ΔE_f (kJ/mol of atoms): -0.3
! Volume (Å³/cell): 78.43
&SYSTEM
  ibrav = 0, nat = 4, ntyp = 3
/
ATOMIC_SPECIES
Ge 72.64 Ge.upf
Ir 192.22 Ir.upf
Ce 140.12 Ce.upf
ATOMIC_POSITIONS crystal
Ge 0.101 0.101 0.696
Ge 0.899 0.899 0.304
Ir 0.500 0.500 0.500
Ce 0.000 0.000 0.000
CELL_PARAMETERS angstrom
-0.830 2.576 -1.332
-2.336 0.027 -1.909
-7.221 2.794 6.489


No. 14
! CeGeIr (PBE, relaxed); values from VASP
! ΔE_f (kJ/mol of atoms): -82.7
! Volume (Å³/cell): 119.74
&SYSTEM
  ibrav = 0, nat = 6, ntyp = 3
/
ATOMIC_SPECIES
Ce 140.12 Ce.upf
Ge 72.64 Ge.upf
Ir 192.22 Ir.upf
ATOMIC_POSITIONS crystal
Ce 0.000 0.607 0.393
Ce 0.500 0.190 0.810
Ge 0.302 0.009 0.387
Ge 0.698 0.613 0.991
Ir 0.215 0.766 0.805
Ir 0.785 0.195 0.234
CELL_PARAMETERS angstrom
-3.552 2.550 -0.344
-1.916 0.385 -5.321
-4.831 -2.843 0.844


No. 15
! Ce2Ge5Ir (PBE, relaxed); values from VASP
! ΔE_f (kJ/mol of atoms): -48.2
! Volume (Å³/cell): 164.47
&SYSTEM
  ibrav = 0, nat = 8, ntyp = 3
/
ATOMIC_SPECIES
Ce 140.12 Ce.upf
Ge 72.64 Ge.upf
Ir 192.22 Ir.upf
ATOMIC_POSITIONS crystal
Ce 0.500 0.254 0.754
Ce 0.500 0.754 0.254
Ge 0.461 0.739 0.739
Ge 0.000 0.739 0.278
Ge 0.000 0.278 0.739
Ge 0.539 0.278 0.278
Ge 0.000 0.291 0.291
Ir 0.000 0.889 0.889
CELL_PARAMETERS angstrom
-2.413 -2.980 4.994
-1.426 -1.406 -5.969
5.914 -0.744 -2.028


No. 16
! Ce3Ge4Ir (PBE, relaxed); values from VASP
! ΔE_f (kJ/mol of atoms): -59.8
! Volume (Å³/cell): 189.12
&SYSTEM
  ibrav = 0, nat = 8, ntyp = 3
/
ATOMIC_SPECIES
Ce 140.12 Ce.upf
Ge 72.64 Ge.upf
Ir 192.22 Ir.upf
ATOMIC_POSITIONS crystal
Ce 0.176 0.176 0.353
Ce 0.824 0.824 0.647
Ce 0.000 0.500 0.000
Ge 0.374 0.581 0.749
Ge 0.626 0.419 0.251
Ge 0.626 0.832 0.251
Ge 0.374 0.168 0.749
Ir 0.500 0.000 0.000
CELL_PARAMETERS angstrom
-2.244 -3.606 -1.335
5.160 -2.191 -2.755
0.256 -0.297 7.797


No. 17
! Ce2GeIr (PBE, relaxed); values from VASP
! ΔE_f (kJ/mol of atoms): -4.9
! Volume (Å³/cell): 84.26
&SYSTEM
  ibrav = 0, nat = 4, ntyp = 3
/
ATOMIC_SPECIES
Ge 72.64 Ge.upf
Ir 192.22 Ir.upf
Ce 140.12 Ce.upf
ATOMIC_POSITIONS crystal
Ge 0.500 0.500 0.500
Ir 0.000 0.000 0.000
Ce 0.084 0.084 0.749
Ce 0.916 0.916 0.251
CELL_PARAMETERS angstrom
3.054 0.000 0.000
1.527 2.645 0.000
1.527 0.882 10.429


No. 18
! Ce5Ge2Ir5 (PBE, relaxed); values from VASP
! ΔE_f (kJ/mol of atoms): -58.8
! Volume (Å³/cell): 270.14
&SYSTEM
  ibrav = 0, nat = 12, ntyp = 3
/
ATOMIC_SPECIES
Ce 140.12 Ce.upf
Ge 72.64 Ge.upf
Ir 192.22 Ir.upf
ATOMIC_POSITIONS crystal
Ce 0.500 0.000 0.500
Ce 0.644 0.288 0.058
Ce 0.760 0.519 0.362
Ce 0.240 0.481 0.638
Ce 0.356 0.712 0.942
Ge 0.059 0.118 0.785
Ge 0.941 0.882 0.215
Ir 0.108 0.216 0.384
Ir 0.694 0.388 0.812
Ir 0.306 0.612 0.188
Ir 0.892 0.784 0.616
Ir 0.000 0.000 0.000
CELL_PARAMETERS angstrom
-3.284 -1.935 0.789
4.846 -4.893 -1.436
1.643 1.385 10.236


No. 19
! Ce3Ge7Ir2 (PBE, relaxed); values from VASP
! ΔE_f (kJ/mol of atoms): -66.7
! Volume (Å³/cell): 242.79
&SYSTEM
  ibrav = 0, nat = 12, ntyp = 3
/
ATOMIC_SPECIES
Ce 140.12 Ce.upf
Ge 72.64 Ge.upf
Ir 192.22 Ir.upf
ATOMIC_POSITIONS crystal
Ce 0.500 0.500 0.000
Ce 0.000 0.182 0.364
Ce 0.000 0.818 0.636
Ge 0.500 0.724 0.447
Ge 0.500 0.276 0.553
Ge 0.000 0.583 0.167
Ge 0.000 0.000 0.000
Ge 0.000 0.417 0.833
Ge 0.500 0.917 0.833
Ge 0.500 0.083 0.167
Ir 0.500 0.630 0.260
Ir 0.500 0.370 0.740
CELL_PARAMETERS angstrom
4.318 0.000 0.000
0.000 4.332 -0.002
0.000 -2.158 12.981


No. 20
! Ce4Ge2Ir (PBE, relaxed); values from VASP
! ΔE to the lowest computed polymorph (meV/atom): 0
! ΔE_f (kJ/mol of atoms): -60.5
! Volume (Å³/cell): 349.23
&SYSTEM
  ibrav = 0, nat = 14, ntyp = 3
/
ATOMIC_SPECIES
Ce 140.12 Ce.upf
Ge 72.64 Ge.upf
Ir 192.22 Ir.upf
ATOMIC_POSITIONS crystal
Ce 0.420 0.474 0.234
Ce 0.146 0.750 0.850
Ce 0.854 0.250 0.150
Ce 0.420 0.026 0.234
Ce 0.914 0.250 0.587
Ce 0.580 0.974 0.766
Ce 0.580 0.526 0.766
Ce 0.086 0.750 0.413
Ge 0.655 0.750 0.086
Ge 0.345 0.250 0.914
Ge 0.288 0.250 0.469
Ge 0.712 0.750 0.531
Ir 0.044 0.750 0.096
Ir 0.956 0.250 0.904
CELL_PARAMETERS angstrom
-0.622 -6.440 1.513
4.505 -1.434 -4.255
6.196 5.114 4.837